Record 1
PBE NbFeTeN2, optimized geometry; ρ = 5.343 g/cm³; distance to the lowest polymorph of the same formula = 0.000 eV/atom; total magnetic moment = 4.155 μB/cell
1.0
-2.242 1.808 2.790
-1.574 -3.541 1.030
4.297 -0.761 3.947
N Fe Nb Te
2 1 1 1
Direct
0.500 0.000 0.000
0.000 0.500 0.000
0.500 0.500 0.500
0.000 0.000 0.000
0.000 0.000 0.500

=====

Record 2
PBE Nb2ZnFeN, optimized geometry; ρ = 7.701 g/cm³; total magnetic moment = 2.228 μB/cell
1.0
4.290 0.000 0.000
0.000 4.290 0.000
0.000 0.000 3.761
Nb Zn N Fe
2 1 1 1
Direct
0.500 0.000 0.000
0.000 0.500 0.000
0.500 0.500 0.500
0.000 0.000 0.000
0.000 0.000 0.500

=====

Record 3
PBE NbZnFe2N, optimized geometry; ρ = 5.246 g/cm³; total magnetic moment = 5.830 μB/cell
1.0
-2.141 -3.370 -1.614
2.733 -3.003 2.645
-2.840 0.258 3.228
N Fe Nb Zn
1 2 1 1
Direct
0.500 0.500 0.500
0.000 0.000 0.500
0.500 0.000 0.000
0.000 0.500 0.000
0.000 0.000 0.000

=====

Record 4
PBE NdFeN, optimized geometry; ρ = 6.849 g/cm³; distance to the lowest polymorph of the same formula = 0.138 eV/atom; total magnetic moment = 5.708 μB/cell
1.0
-0.775 -3.099 -0.693
3.421 -0.990 0.600
-1.509 0.129 8.816
Fe Nd N
2 2 2
Direct
0.233 0.750 0.466
0.767 0.250 0.534
0.914 0.750 0.829
0.086 0.250 0.171
0.430 0.250 0.860
0.570 0.750 0.140

=====

Formation energy from raw total energies? In order: 0.62, -0.36, 2.11, -0.04 eV/atom.